{"formula": "PuPdBr", "functional": "PBE", "state": "relaxed", "cell": [[-6.661, -2.006, 2.158], [7.035, 1.528, 1.112], [-2.260, 9.242, 1.631]], "species": ["Br", "Br", "Pu", "Pu", "Pd", "Pd"], "frac_coords": [[0.747, 0.747, 0.315], [0.253, 0.253, 0.685], [0.752, 0.752, 0.916], [0.248, 0.248, 0.084], [0.323, 0.677, 0.000], [0.677, 0.323, 0.000]], "formation_energy_uncorrected_mev_per_atom": -152.3, "space_group": "C2/m", "energy_ev_per_atom": -7.218, "magnetic_moment_mub_per_atom": 0.227}